A relaxed Th4GaCo12B3 crystal. Source: Alexandria via LeMat-Bulk, functional PBE.

Lattice parameters (Å, degrees): 7.1203 7.1203 7.1203 109.47 109.47 109.47
Sites, in units of the cell vectors:
Th (0.0000, 0.0000, 0.5000)
Th (0.0000, 0.5000, 0.0000)
Th (0.5000, 0.0000, 0.0000)
Th (0.5000, 0.5000, 0.5000)
Ga (0.0000, 0.0000, 0.0000)
Co (0.0000, 0.2739, 0.2739)
Co (0.0000, 0.7261, 0.7261)
Co (0.2500, 0.5000, 0.7500)
Co (0.2500, 0.7500, 0.5000)
Co (0.2739, 0.0000, 0.2739)
Co (0.2739, 0.2739, 0.0000)
Co (0.5000, 0.2500, 0.7500)
Co (0.5000, 0.7500, 0.2500)
Co (0.7261, 0.0000, 0.7261)
Co (0.7261, 0.7261, 0.0000)
Co (0.7500, 0.2500, 0.5000)
Co (0.7500, 0.5000, 0.2500)
B (0.0000, 0.5000, 0.5000)
B (0.5000, 0.0000, 0.5000)
B (0.5000, 0.5000, 0.0000)

D(E_F) = 3.5 states/eV/f.u.
ρ = 10.4 g/cm3
Calculated formation energy = -285.9 meV per atom
Total DFT energy (no corrections) = -143.7 eV/cell
Volume = 278 Å³ per cell

***

A relaxed CeH8Rh2 crystal. Source: Alexandria via LeMat-Bulk, functional PBE.

Lattice parameters (Å, degrees): 5.5107 5.5107 3.7089 90.00 90.00 119.75
Sites, in units of the cell vectors:
Ce (0.0000, 0.0000, 0.0000)
H (0.1299, 0.3916, 0.5000)
H (0.2444, 0.7556, 0.0000)
H (0.3916, 0.1299, 0.5000)
H (0.5000, 0.5000, 0.1045)
H (0.5000, 0.5000, 0.8955)
H (0.6084, 0.8701, 0.5000)
H (0.7556, 0.2444, 0.0000)
H (0.8701, 0.6084, 0.5000)
Rh (0.2351, 0.7649, 0.5000)
Rh (0.7649, 0.2351, 0.5000)

D(E_F) = 5.4 states/eV/f.u.
Energy above the lowest structure with this stoichiometry = 0 meV per atom
ρ = 6.0 g/cm3
Total DFT energy (no corrections) = -49.7 eV/cell
Volume = 98 Å³ per cell

***

A relaxed TcO3 crystal. Source: Alexandria via LeMat-Bulk, functional PBE.

Lattice parameters (Å, degrees): 5.4521 5.4521 6.2001 90.00 90.00 149.49
Sites, in units of the cell vectors:
Tc (0.2343, 0.7657, 0.7500)
Tc (0.7657, 0.2343, 0.2500)
O (0.1665, 0.8335, 0.0697)
O (0.1665, 0.8335, 0.4303)
O (0.3866, 0.6134, 0.2500)
O (0.6134, 0.3866, 0.7500)
O (0.8335, 0.1665, 0.5697)
O (0.8335, 0.1665, 0.9303)

D(E_F) = 1.5 states/eV/f.u.
Formation energy from raw total energies = -0.9264 eV per atom
Energy above the lowest structure with this stoichiometry = 371 meV per atom
ρ = 5.2 g/cm3
Total DFT energy (no corrections) = -57.9 eV/cell
Volume = 94 Å³ per cell

***

A relaxed LaMn2Al crystal. Source: Alexandria via LeMat-Bulk, functional PBE.

Lattice parameters (Å, degrees): 5.9265 5.9265 5.9265 149.91 132.29 57.44
Sites, in units of the cell vectors:
La (0.0000, 0.0000, 0.0000)
Mn (0.2859, 0.7859, 0.5000)
Mn (0.5080, 0.5080, 0.0000)
Al (0.7180, 0.2180, 0.5000)

D(E_F) = 3.8 states/eV/f.u.
ρ = 6.0 g/cm3
Calculated formation energy = 246.5 meV per atom
Total DFT energy (no corrections) = -26.0 eV/cell
Volume = 77 Å³ per cell

***

A relaxed Zr3TiIn crystal. Source: Alexandria via LeMat-Bulk, functional PBE.

Lattice parameters (Å, degrees): 4.9584 4.9584 4.9584 90.00 90.00 90.00
Sites, in units of the cell vectors:
Zr (0.0000, 0.0000, 0.5000)
Zr (0.0000, 0.5000, 0.0000)
Zr (0.5000, 0.0000, 0.0000)
Ti (0.0000, 0.0000, 0.0000)
In (0.5000, 0.5000, 0.5000)

D(E_F) = 8.6 states/eV/f.u.
Energy above the lowest structure with this stoichiometry = 746 meV per atom
ρ = 5.9 g/cm3
Calculated formation energy = 615.4 meV per atom
Total DFT energy (no corrections) = -33.2 eV/cell
Volume = 122 Å³ per cell

***

A relaxed K2Np2MnS6 crystal. Source: Alexandria via LeMat-Bulk, functional PBE.

Lattice parameters (Å, degrees): 6.7606 6.7606 7.8341 98.11 98.11 120.08
Sites, in units of the cell vectors:
K (0.1651, 0.8349, 0.0000)
K (0.8349, 0.1651, 0.0000)
Np (0.3339, 0.6661, 0.5000)
Np (0.6661, 0.3339, 0.5000)
Mn (0.0000, 0.0000, 0.5000)
S (0.0616, 0.3900, 0.6908)
S (0.2568, 0.2568, 0.3126)
S (0.3900, 0.0616, 0.6908)
S (0.6100, 0.9384, 0.3092)
S (0.7432, 0.7432, 0.6874)
S (0.9384, 0.6100, 0.3092)

D(E_F) = 13.3 states/eV/f.u.
Formation energy from raw total energies = -1.2105 eV per atom
ρ = 4.5 g/cm3
Total DFT energy (no corrections) = -75.3 eV/cell
Volume = 297 Å³ per cell

***

A relaxed Mg2ScTl2 crystal. Source: Alexandria via LeMat-Bulk, functional PBE.

Lattice parameters (Å, degrees): 8.4273 8.4273 3.3589 90.00 90.00 90.00
Sites, in units of the cell vectors:
Mg (0.1246, 0.3754, 0.0000)
Mg (0.3754, 0.8754, 0.0000)
Mg (0.6246, 0.1246, 0.0000)
Mg (0.8754, 0.6246, 0.0000)
Sc (0.0000, 0.0000, 0.0000)
Sc (0.5000, 0.5000, 0.0000)
Tl (0.1763, 0.6763, 0.5000)
Tl (0.3237, 0.1763, 0.5000)
Tl (0.6763, 0.8237, 0.5000)
Tl (0.8237, 0.3237, 0.5000)

D(E_F) = 2.4 states/eV/f.u.
Energy above the lowest structure with this stoichiometry = 27 meV per atom
ρ = 7.0 g/cm3
Calculated formation energy = 0.4 meV per atom
Total DFT energy (no corrections) = -28.5 eV/cell
Volume = 239 Å³ per cell

***

A relaxed PmCuPb crystal. Source: Alexandria via LeMat-Bulk, functional PBE.

Lattice parameters (Å, degrees): 4.6627 4.6627 3.8589 90.00 90.00 120.00
Sites, in units of the cell vectors:
Pm (0.0000, 0.0000, 0.0000)
Cu (0.3333, 0.6667, 0.5000)
Pb (0.6667, 0.3333, 0.5000)

D(E_F) = 1.9 states/eV/f.u.
Energy above the lowest structure with this stoichiometry = 98 meV per atom
ρ = 9.5 g/cm3
Calculated formation energy = -329.4 meV per atom
Total DFT energy (no corrections) = -13.5 eV/cell
Volume = 73 Å³ per cell

***

A relaxed Co2SnBi2 crystal. Source: Alexandria via LeMat-Bulk, functional PBE.

Lattice parameters (Å, degrees): 7.0391 7.0391 4.1800 90.00 90.00 90.00
Sites, in units of the cell vectors:
Co (0.1235, 0.3765, 0.0000)
Co (0.3765, 0.8765, 0.0000)
Co (0.6235, 0.1235, 0.0000)
Co (0.8765, 0.6235, 0.0000)
Sn (0.0000, 0.0000, 0.0000)
Sn (0.5000, 0.5000, 0.0000)
Bi (0.1659, 0.6659, 0.5000)
Bi (0.3341, 0.1659, 0.5000)
Bi (0.6659, 0.8341, 0.5000)
Bi (0.8341, 0.3341, 0.5000)

D(E_F) = 4.7 states/eV/f.u.
ρ = 10.5 g/cm3
Calculated formation energy = 354.1 meV per atom
Total DFT energy (no corrections) = -48.4 eV/cell
Volume = 207 Å³ per cell

***

A relaxed Mo2RuCl crystal. Source: Alexandria via LeMat-Bulk, functional PBE.

Lattice parameters (Å, degrees): 5.1936 5.1936 5.1936 138.13 138.13 60.70
Sites, in units of the cell vectors:
Mo (0.0000, 0.0000, 0.0000)
Mo (0.7500, 0.2500, 0.5000)
Ru (0.2500, 0.7500, 0.5000)
Cl (0.5000, 0.5000, 0.0000)

D(E_F) = 5.6 states/eV/f.u.
Formation energy from raw total energies = 0.9503 eV per atom
Energy above the lowest structure with this stoichiometry = 733 meV per atom
ρ = 8.8 g/cm3
Total DFT energy (no corrections) = -29.0 eV/cell
Volume = 62 Å³ per cell

***

A relaxed Al3Cu7Au2 crystal. Source: Alexandria via LeMat-Bulk, functional PBE.

Lattice parameters (Å, degrees): 4.1336 2.7533 15.0324 90.00 95.42 90.00
Sites, in units of the cell vectors:
Al (0.0000, 0.0000, 0.0000)
Al (0.2846, 0.5000, 0.6162)
Al (0.7154, 0.5000, 0.3838)
Cu (0.1570, 0.5000, 0.1344)
Cu (0.2353, 0.0000, 0.4590)
Cu (0.3375, 0.0000, 0.8457)
Cu (0.5000, 0.5000, 0.0000)
Cu (0.6625, 0.0000, 0.1543)
Cu (0.7647, 0.0000, 0.5410)
Cu (0.8430, 0.5000, 0.8656)
Au (0.1955, 0.0000, 0.2868)
Au (0.8045, 0.0000, 0.7132)

D(E_F) = 2.8 states/eV/f.u.
ρ = 9.0 g/cm3
Calculated formation energy = -83.8 meV per atom
Total DFT energy (no corrections) = -47.5 eV/cell
Volume = 170 Å³ per cell

***

A relaxed NaInGaBi crystal. Source: Alexandria via LeMat-Bulk, functional PBE.

Lattice parameters (Å, degrees): 5.3884 5.3884 5.3884 60.00 60.00 60.00
Sites, in units of the cell vectors:
Na (0.0000, 0.0000, 0.0000)
In (0.7500, 0.7500, 0.7500)
Ga (0.2500, 0.2500, 0.2500)
Bi (0.5000, 0.5000, 0.5000)

D(E_F) = 1.0 states/eV/f.u.
ρ = 6.3 g/cm3
Calculated formation energy = -76.1 meV per atom
Total DFT energy (no corrections) = -11.3 eV/cell
Volume = 111 Å³ per cell

***

A relaxed MgSiAs2 crystal. Source: Alexandria via LeMat-Bulk, functional PBE.

Lattice parameters (Å, degrees): 4.7589 4.7589 4.7589 60.00 60.00 60.00
Sites, in units of the cell vectors:
Mg (0.0000, 0.0000, 0.0000)
Si (0.7500, 0.7500, 0.7500)
As (0.2500, 0.2500, 0.2500)
As (0.5000, 0.5000, 0.5000)

D(E_F) = 2.9 states/eV/f.u.
Formation energy from raw total energies = 0.3071 eV per atom
Energy above the lowest structure with this stoichiometry = 624 meV per atom
ρ = 4.4 g/cm3
Total DFT energy (no corrections) = -15.1 eV/cell
Volume = 76 Å³ per cell

***

A relaxed YHfZr2 crystal. Source: Alexandria via LeMat-Bulk, functional PBE.

Lattice parameters (Å, degrees): 4.6298 4.6298 4.6043 90.00 90.00 90.00
Sites, in units of the cell vectors:
Y (0.0000, 0.0000, 0.0000)
Hf (0.5000, 0.5000, 0.0000)
Zr (0.0000, 0.5000, 0.5000)
Zr (0.5000, 0.0000, 0.5000)

D(E_F) = 6.0 states/eV/f.u.
Energy above the lowest structure with this stoichiometry = 49 meV per atom
ρ = 7.6 g/cm3
Calculated formation energy = 145.6 meV per atom
Total DFT energy (no corrections) = -32.9 eV/cell
Volume = 99 Å³ per cell

***

A relaxed MgAgW crystal. Source: Alexandria via LeMat-Bulk, functional PBE.

Lattice parameters (Å, degrees): 6.9677 6.9677 6.9677 157.04 157.04 32.69
Sites, in units of the cell vectors:
Mg (0.0000, 0.0000, 0.0000)
Ag (0.3328, 0.3328, 0.0000)
W (0.6660, 0.6660, 0.0000)

D(E_F) = 2.2 states/eV/f.u.
Energy above the lowest structure with this stoichiometry = 0 meV per atom
ρ = 10.2 g/cm3
Calculated formation energy = 363.0 meV per atom
Total DFT energy (no corrections) = -16.3 eV/cell
Volume = 51 Å³ per cell

***

A relaxed LaTbHoZn crystal. Source: Alexandria via LeMat-Bulk, functional PBE.

Lattice parameters (Å, degrees): 3.6039 3.6039 8.7954 90.00 90.00 90.00
Sites, in units of the cell vectors:
La (0.0000, 0.0000, 0.0000)
Tb (0.5000, 0.5000, 0.6971)
Ho (0.5000, 0.5000, 0.2994)
Zn (0.0000, 0.0000, 0.4947)

D(E_F) = 5.6 states/eV/f.u.
Energy above the lowest structure with this stoichiometry = 0 meV per atom
ρ = 7.7 g/cm3
Calculated formation energy = -154.7 meV per atom
Total DFT energy (no corrections) = -16.0 eV/cell
Volume = 114 Å³ per cell

***

A relaxed Ca3ErIn2 crystal. Source: Alexandria via LeMat-Bulk, functional PBE.

Lattice parameters (Å, degrees): 5.3128 9.8328 7.0443 90.00 90.00 90.00
Sites, in units of the cell vectors:
Ca (0.0000, 0.0468, 0.0000)
Ca (0.0000, 0.3164, 0.3569)
Ca (0.0000, 0.6836, 0.8569)
Ca (0.0000, 0.9532, 0.5000)
Ca (0.5000, 0.1830, 0.7137)
Ca (0.5000, 0.8170, 0.2137)
Er (0.5000, 0.4555, 0.0660)
Er (0.5000, 0.5445, 0.5660)
In (0.0000, 0.3664, 0.8205)
In (0.0000, 0.6336, 0.3205)
In (0.5000, 0.1503, 0.2451)
In (0.5000, 0.8497, 0.7451)

D(E_F) = 5.7 states/eV/f.u.
ρ = 4.7 g/cm3
Calculated formation energy = -347.3 meV per atom
Total DFT energy (no corrections) = -36.3 eV/cell
Volume = 368 Å³ per cell

***

A relaxed AcMgZn2Au5 crystal. Source: Alexandria via LeMat-Bulk, functional PBE.

Lattice parameters (Å, degrees): 4.9947 4.9947 7.7332 90.00 90.00 90.00
Sites, in units of the cell vectors:
Ac (0.0000, 0.0000, 0.0000)
Mg (0.0000, 0.0000, 0.5000)
Zn (0.5000, 0.5000, 0.3387)
Zn (0.5000, 0.5000, 0.6613)
Au (0.0000, 0.5000, 0.2891)
Au (0.0000, 0.5000, 0.7109)
Au (0.5000, 0.0000, 0.2891)
Au (0.5000, 0.0000, 0.7109)
Au (0.5000, 0.5000, 0.0000)

D(E_F) = 2.5 states/eV/f.u.
ρ = 11.8 g/cm3
Calculated formation energy = -374.6 meV per atom
Total DFT energy (no corrections) = -28.0 eV/cell
Volume = 193 Å³ per cell

***

A relaxed NdCdGa2 crystal. Source: Alexandria via LeMat-Bulk, functional PBE.

Lattice parameters (Å, degrees): 5.8364 5.8364 5.8364 45.43 45.43 45.43
Sites, in units of the cell vectors:
Nd (0.0000, 0.0000, 0.0000)
Cd (0.5000, 0.5000, 0.5000)
Ga (0.2255, 0.2255, 0.2255)
Ga (0.7745, 0.7745, 0.7745)

D(E_F) = 1.5 states/eV/f.u.
Energy above the lowest structure with this stoichiometry = 22 meV per atom
ρ = 7.2 g/cm3
Calculated formation energy = -400.5 meV per atom
Total DFT energy (no corrections) = -13.3 eV/cell
Volume = 92 Å³ per cell

***

A relaxed Tm2InSi2Ir5 crystal. Source: Alexandria via LeMat-Bulk, functional PBE.

Lattice parameters (Å, degrees): 9.7058 9.7058 3.5591 90.00 90.00 90.00
Sites, in units of the cell vectors:
Tm (0.1753, 0.3247, 0.0000)
Tm (0.3247, 0.8247, 0.0000)
Tm (0.6753, 0.1753, 0.0000)
Tm (0.8247, 0.6753, 0.0000)
In (0.0000, 0.0000, 0.0000)
In (0.5000, 0.5000, 0.0000)
Si (0.1231, 0.6231, 0.0000)
Si (0.3769, 0.1231, 0.0000)
Si (0.6231, 0.8769, 0.0000)
Si (0.8769, 0.3769, 0.0000)
Ir (0.0000, 0.5000, 0.5000)
Ir (0.0688, 0.7839, 0.5000)
Ir (0.2161, 0.0688, 0.5000)
Ir (0.2839, 0.5688, 0.5000)
Ir (0.4312, 0.2839, 0.5000)
Ir (0.5000, 0.0000, 0.5000)
Ir (0.5688, 0.7161, 0.5000)
Ir (0.7161, 0.4312, 0.5000)
Ir (0.7839, 0.9312, 0.5000)
Ir (0.9312, 0.2161, 0.5000)

D(E_F) = 2.8 states/eV/f.u.
Formation energy from raw total energies = -0.8391 eV per atom
ρ = 14.6 g/cm3
Total DFT energy (no corrections) = -150.4 eV/cell
Volume = 335 Å³ per cell